# PBE-GGA Pr3BeB2N6, relaxed
data_Pr3BeB2N6
_chemical_formula_sum 'Pr3 Be1 B2 N6'
_symmetry_space_group_name_H-M 'P -3 m 1'
_symmetry_Int_Tables_number 164
_symmetry_space_group_name_Hall '-P 3 2"'
_cell_length_a 5.3831
_cell_length_b 5.3831
_cell_length_c 6.1296
_cell_angle_alpha 90.00
_cell_angle_beta 90.00
_cell_angle_gamma 120.00
loop_
_atom_site_label
_atom_site_type_symbol
_atom_site_fract_x
_atom_site_fract_y
_atom_site_fract_z
Pr1 Pr 0.0000 0.0000 0.0000
Pr2 Pr 0.3333 0.6667 0.6625
Be1 Be 0.0000 0.0000 0.5000
B1 B 0.3333 0.6667 0.2607
N1 N 0.1781 0.3562 0.2943
# calculated density: 5.8 g cm⁻³
# formation energy from raw total energies: -0.8591 eV/atom
# calculated volume: 12.8 Å³/atom